Run w
The following is a DFT calculation (PBE) of a relaxed Li2ScCo crystal.

For the calculated volume, the calculation gives 135.6 Å³/cell.

It has space group Cm (No. 8), with a = 8.884 Å, b = 2.984 Å, c = 5.679 Å, α = 90.00°, β = 115.70° and γ = 90.00°. The distinct sites, in fractional coordinates, are Li at (0.000, 0.000, 0.000), Li at (0.214, 0.000, 0.797), Sc at (0.335, 0.500, 0.388) and Co at (0.059, 0.500, 0.395).

Run x
The following is a DFT calculation (PBE) of a relaxed Li2ScCo crystal.

For the calculated volume, the calculation gives 128.7 Å³/cell.

It has space group Cmmm (No. 65), with a = 4.888 Å, b = 9.379 Å, c = 2.808 Å, α = 90.00°, β = 90.00° and γ = 90.00°. The distinct sites, in fractional coordinates, are Li at (0.250, 0.250, 0.000), Sc at (0.000, 0.000, 0.500) and Co at (0.000, 0.500, 0.500).

Run y
The following is a DFT calculation (PBE) of a relaxed Li2ScCo crystal.

For the calculated volume, the calculation gives 233.1 Å³/cell.

It has space group Fm-3m (No. 225), with a = 6.154 Å, b = 6.154 Å, c = 6.154 Å, α = 90.00°, β = 90.00° and γ = 90.00°. The distinct sites, in fractional coordinates, are Li at (0.250, 0.250, 0.250), Sc at (0.000, 0.000, 0.000) and Co at (0.000, 0.000, 0.500).

Run z
The following is a DFT calculation (PBE) of a relaxed Li2ScCo crystal.

For the calculated volume, the calculation gives 132.3 Å³/cell.

It has space group Cmmm (No. 65), with a = 3.268 Å, b = 4.353 Å, c = 9.300 Å, α = 90.00°, β = 90.00° and γ = 90.00°. The distinct sites, in fractional coordinates, are Li at (0.000, 0.000, 0.213), Sc at (0.000, 0.500, 0.500) and Co at (0.000, 0.500, 0.000).

Most stable: run w

Run w
The following is a DFT calculation (PBE) of a relaxed Li2ScCo crystal.

For the calculated volume, the calculation gives 195.8 Å³/cell.

It has space group R-3m (No. 166, hexagonal axes), with a = 2.7871 Å, b = 2.7871 Å, c = 29.1027 Å, α = 90.00°, β = 90.00° and γ = 120.00°. The distinct sites, in fractional coordinates, are Li at (0.0000, 0.0000, 0.2394), Sc at (0.0000, 0.0000, 0.0000) and Co at (0.0000, 0.0000, 0.5000).

Run x
The following is a DFT calculation (PBE) of a relaxed Li2ScCo crystal.

For the calculated volume, the calculation gives 67.6 Å³/cell.

It has space group P4mm (No. 99), with a = 3.108 Å, b = 3.108 Å, c = 6.999 Å, α = 90.00°, β = 90.00° and γ = 90.00°. The distinct sites, in fractional coordinates, are Li at (0.000, 0.000, 0.000), Li at (0.500, 0.500, 0.251), Sc at (0.000, 0.000, 0.599) and Co at (0.500, 0.500, 0.792).

Run y
The following is a DFT calculation (PBE) of a relaxed Li2ScCo crystal.

For the calculated volume, the calculation gives 122.9 Å³/cell.

It has space group I4/mmm (No. 139), with a = 3.587 Å, b = 3.587 Å, c = 9.549 Å, α = 90.00°, β = 90.00° and γ = 90.00°. The distinct sites, in fractional coordinates, are Li at (0.000, 0.500, 0.250), Sc at (0.000, 0.000, 0.000) and Co at (0.000, 0.000, 0.500).

Run z
The following is a DFT calculation (PBE) of a relaxed Li2ScCo crystal.

For the calculated volume, the calculation gives 63.1 Å³/cell.

It has space group P2/m (No. 10), with a = 3.052 Å, b = 4.946 Å, c = 4.197 Å, α = 90.00°, β = 95.22° and γ = 90.00°. The distinct sites, in fractional coordinates, are Li at (0.217, 0.000, 0.282), Sc at (0.500, 0.500, 0.000) and Co at (0.000, 0.500, 0.500).

Most stable: run x

Run w
The following is a DFT calculation (PBE) of a relaxed Li2ScCo crystal.

For the calculated volume, the calculation gives 62.7 Å³/cell.

It has space group P4/mmm (No. 123), with a = 3.588 Å, b = 3.588 Å, c = 4.870 Å, α = 90.00°, β = 90.00° and γ = 90.00°. The distinct sites, in fractional coordinates, are Li at (0.000, 0.500, 0.000), Sc at (0.000, 0.000, 0.500) and Co at (0.500, 0.500, 0.500).

Run x
The following is a DFT calculation (PBE) of a relaxed Li2ScCo crystal.

For the calculated volume, the calculation gives 66.0 Å³/cell.

It has space group P4/mmm (No. 123), with a = 2.700 Å, b = 2.700 Å, c = 9.046 Å, α = 90.00°, β = 90.00° and γ = 90.00°. The distinct sites, in fractional coordinates, are Li at (0.000, 0.000, 0.208), Sc at (0.500, 0.500, 0.500) and Co at (0.500, 0.500, 0.000).

Run y
The following is a DFT calculation (PBE) of a relaxed Li2ScCo crystal.

For the calculated volume, the calculation gives 121.9 Å³/cell.

It has space group I-4m2 (No. 119), with a = 4.421 Å, b = 4.421 Å, c = 6.238 Å, α = 90.00°, β = 90.00° and γ = 90.00°. The distinct sites, in fractional coordinates, are Li at (0.000, 0.000, 0.000), Li at (0.000, 0.500, 0.250), Sc at (0.000, 0.000, 0.500) and Co at (0.000, 0.500, 0.750).

Run z
The following is a DFT calculation (PBE) of a relaxed Li2ScCo crystal.

For the calculated volume, the calculation gives 258.0 Å³/cell.

It has space group I-42d (No. 122), with a = 3.562 Å, b = 3.562 Å, c = 20.340 Å, α = 90.00°, β = 90.00° and γ = 90.00°. The distinct sites, in fractional coordinates, are Li at (0.217, 0.750, 0.125), Sc at (0.000, 0.000, 0.500) and Co at (0.000, 0.000, 0.000).

Most stable: run w

Run w
The following is a DFT calculation (PBE) of a relaxed LiScCo2 crystal.

For the calculated volume, the calculation gives 212.6 Å³/cell.

It has space group Fm-3m (No. 225), with a = 5.968 Å, b = 5.968 Å, c = 5.968 Å, α = 90.00°, β = 90.00° and γ = 90.00°. The distinct sites, in fractional coordinates, are Li at (0.000, 0.000, 0.000), Sc at (0.000, 0.000, 0.500) and Co at (0.250, 0.250, 0.250).

Run x
The following is a DFT calculation (PBE) of a relaxed LiScCo2 crystal.

For the calculated volume, the calculation gives 169.3 Å³/cell.

It has space group R-3m (No. 166, hexagonal axes), with a = 2.8560 Å, b = 2.8560 Å, c = 23.9628 Å, α = 90.00°, β = 90.00° and γ = 120.00°. The distinct sites, in fractional coordinates, are Li at (0.0000, 0.0000, 0.0000), Sc at (0.0000, 0.0000, 0.5000) and Co at (0.0000, 0.0000, 0.2490).

Run y
The following is a DFT calculation (PBE) of a relaxed LiScCo2 crystal.

For the calculated volume, the calculation gives 107.2 Å³/cell.

It has space group I-4m2 (No. 119), with a = 4.224 Å, b = 4.224 Å, c = 6.008 Å, α = 90.00°, β = 90.00° and γ = 90.00°. The distinct sites, in fractional coordinates, are Li at (0.000, 0.000, 0.000), Sc at (0.000, 0.500, 0.750), Co at (0.000, 0.000, 0.500) and Co at (0.000, 0.500, 0.250).

Most stable: run y

Run w
The following is a DFT calculation (PBE) of a relaxed LiScCo2 crystal.

For the calculated volume, the calculation gives 59.8 Å³/cell.

It has space group P4mm (No. 99), with a = 3.005 Å, b = 3.005 Å, c = 6.623 Å, α = 90.00°, β = 90.00° and γ = 90.00°. The distinct sites, in fractional coordinates, are Li at (0.000, 0.000, 0.000), Sc at (0.500, 0.500, 0.349), Co at (0.000, 0.000, 0.602) and Co at (0.500, 0.500, 0.777).

Run x
The following is a DFT calculation (PBE) of a relaxed LiScCo2 crystal.

For the calculated volume, the calculation gives 53.5 Å³/cell.

It has space group Pmmm (No. 47), with a = 3.735 Å, b = 3.762 Å, c = 3.805 Å, α = 90.00°, β = 90.00° and γ = 90.00°. The distinct sites, in fractional coordinates, are Li at (0.000, 0.000, 0.000), Sc at (0.500, 0.000, 0.500), Co at (0.000, 0.500, 0.500) and Co at (0.500, 0.500, 0.000).

Run y
The following is a DFT calculation (PBE) of a relaxed LiScCo2 crystal.

For the calculated volume, the calculation gives 109.0 Å³/cell.

It has space group C2/m (No. 12), with a = 5.191 Å, b = 7.923 Å, c = 2.775 Å, α = 90.00°, β = 107.24° and γ = 90.00°. The distinct sites, in fractional coordinates, are Li at (0.000, 0.000, 0.000), Sc at (0.000, 0.500, 0.000) and Co at (0.250, 0.250, 0.500).

Run z
The following is a DFT calculation (PBE) of a relaxed LiScCo2 crystal.

For the calculated volume, the calculation gives 57.0 Å³/cell.

It has space group Pm (No. 6), with a = 2.875 Å, b = 3.966 Å, c = 5.164 Å, α = 90.00°, β = 104.53° and γ = 90.00°. The distinct sites, in fractional coordinates, are Li at (0.000, 0.000, 0.000), Sc at (0.733, 0.500, 0.324), Co at (0.281, 0.500, 0.787) and Co at (0.385, 0.000, 0.577).

Most stable: run x

Run w
The following is a DFT calculation (PBE) of a relaxed Li2ScCo2 crystal.

For the calculated volume, the calculation gives 153.8 Å³/cell.

It has space group I4/mmm (No. 139), with a = 3.581 Å, b = 3.581 Å, c = 11.992 Å, α = 90.00°, β = 90.00° and γ = 90.00°. The distinct sites, in fractional coordinates, are Li at (0.000, 0.500, 0.250), Sc at (0.000, 0.000, 0.000) and Co at (0.000, 0.000, 0.410).

Run x
The following is a DFT calculation (PBE) of a relaxed Li2ScCo2 crystal.

For the calculated volume, the calculation gives 138.2 Å³/cell.

It has space group P4/mbm (No. 127), with a = 6.936 Å, b = 6.936 Å, c = 2.873 Å, α = 90.00°, β = 90.00° and γ = 90.00°. The distinct sites, in fractional coordinates, are Li at (0.171, 0.329, 0.000), Sc at (0.000, 0.000, 0.500) and Co at (0.119, 0.619, 0.500).

Most stable: run w

Run w
The following is a DFT calculation (PBE) of a relaxed LiScCo3 crystal.

For the calculated volume, the calculation gives 90.7 Å³/cell.

It has space group Pm-3m (No. 221), with a = 4.493 Å, b = 4.493 Å, c = 4.493 Å, α = 90.00°, β = 90.00° and γ = 90.00°. The distinct sites, in fractional coordinates, are Li at (0.000, 0.000, 0.000), Sc at (0.500, 0.500, 0.500) and Co at (0.000, 0.500, 0.500).

Run x
The following is a DFT calculation (PBE) of a relaxed LiScCo3 crystal.

For the calculated volume, the calculation gives 64.9 Å³/cell.

It has space group Pm-3m (No. 221), with a = 4.020 Å, b = 4.020 Å, c = 4.020 Å, α = 90.00°, β = 90.00° and γ = 90.00°. The distinct sites, in fractional coordinates, are Li at (0.000, 0.000, 0.000), Sc at (0.500, 0.500, 0.500) and Co at (0.000, 0.000, 0.500).

Most stable: run x

Run w
The following is a DFT calculation (PBE) of a relaxed LiCo3Si crystal.

For the calculated volume, the calculation gives 75.9 Å³/cell.

It has space group Pm-3m (No. 221), with a = 4.233 Å, b = 4.233 Å, c = 4.233 Å, α = 90.00°, β = 90.00° and γ = 90.00°. The distinct sites, in fractional coordinates, are Li at (0.000, 0.000, 0.000), Co at (0.000, 0.500, 0.500) and Si at (0.500, 0.500, 0.500).

Run x
The following is a DFT calculation (PBE) of a relaxed LiCo3Si crystal.

For the calculated volume, the calculation gives 55.4 Å³/cell.

It has space group Pm-3m (No. 221), with a = 3.811 Å, b = 3.811 Å, c = 3.811 Å, α = 90.00°, β = 90.00° and γ = 90.00°. The distinct sites, in fractional coordinates, are Li at (0.000, 0.000, 0.000), Co at (0.000, 0.000, 0.500) and Si at (0.500, 0.500, 0.500).

Most stable: run w

Run w
The following is a DFT calculation (PBE) of a relaxed LiSmCo crystal.

For the calculated volume, the calculation gives 296.5 Å³/cell.

It has space group C2/m (No. 12), with a = 6.741 Å, b = 3.894 Å, c = 11.515 Å, α = 90.00°, β = 101.21° and γ = 90.00°. The distinct sites, in fractional coordinates, are Li at (0.196, 0.000, 0.089), Sm at (0.055, 0.000, 0.665) and Co at (0.167, 0.500, 0.500).

Run x
The following is a DFT calculation (PBE) of a relaxed LiSmCo crystal.

For the calculated volume, the calculation gives 252.8 Å³/cell.

It has space group C2/m (No. 12), with a = 12.737 Å, b = 3.875 Å, c = 5.181 Å, α = 90.00°, β = 98.71° and γ = 90.00°. The distinct sites, in fractional coordinates, are Li at (0.088, 0.000, 0.319), Sm at (0.135, 0.500, 0.851) and Co at (0.237, 0.500, 0.391).

Most stable: run w

Run w
The following is a DFT calculation (PBE) of a relaxed LiCoSn3 crystal.

For the calculated volume, the calculation gives 121.7 Å³/cell.

It has space group Pm-3m (No. 221), with a = 4.956 Å, b = 4.956 Å, c = 4.956 Å, α = 90.00°, β = 90.00° and γ = 90.00°. The distinct sites, in fractional coordinates, are Li at (0.000, 0.000, 0.000), Co at (0.500, 0.500, 0.500) and Sn at (0.000, 0.500, 0.500).

Run x
The following is a DFT calculation (PBE) of a relaxed LiCoSn3 crystal.

For the calculated volume, the calculation gives 219.8 Å³/cell.

It has space group P2_1/m (No. 11), with a = 5.853 Å, b = 4.041 Å, c = 9.444 Å, α = 90.00°, β = 100.25° and γ = 90.00°. The distinct sites, in fractional coordinates, are Li at (0.200, 0.250, 0.177), Co at (0.177, 0.750, 0.679), Sn at (0.105, 0.750, 0.400), Sn at (0.300, 0.750, 0.951) and Sn at (0.436, 0.250, 0.698).

Most stable: run x